CdReAgMo2 (meta-GGA SCAN, single point on PBEsol structure); energy = -38.99 eV/atom; ΔE_f = 148.7 kJ per mole of atoms
1.0
-0.8666 0.5165 4.5503
2.6594 -3.7134 0.9280
4.0947 3.0411 0.4346
Mo Ag Re Cd
2 1 1 1
direct
0.0000 0.5000 0.0000
0.5000 0.0000 0.0000
0.5000 0.5000 0.5000
0.0000 0.0000 0.0000
0.0000 0.0000 0.5000